# 1
Below is crystalline BeNi2Pt at its relaxed geometry, with properties calculated at the GGA-PBEsol level.

Values from the calculation:
Mass density: 12.043 g/cm3
DOS at the Fermi energy: 4.4 states/eV/f.u.
Formation energy from the elements: -0.2394 eV/atom
Volume: 44.3 Å³/cell
Symmetry: I4/mmm

a b c (Å): 3.4602 3.4602 4.4377
angles (deg): 112.95 112.95 90.00
Fractional coordinates of all 4 atoms:
Be1 0.0000 0.0000 0.0000
Pt1 0.5000 0.5000 0.0000
Ni1 0.7500 0.2500 0.5000
Ni2 0.2500 0.7500 0.5000

# 2
Below is crystalline ZrZn2As at its relaxed geometry, with properties calculated at the GGA-PBEsol level.

Values from the calculation:
Mass density: 7.157 g/cm3
DOS at the Fermi energy: 1.7 states/eV/f.u.
Formation energy from the elements: -0.3791 eV/atom
Volume: 68.9 Å³/cell
Symmetry: P4mm

a b c (Å): 3.5084 3.5084 5.5980
angles (deg): 90.00 90.00 90.00
Fractional coordinates of all 4 atoms:
Zn1 0.5000 0.5000 0.2201
As1 0.5000 0.5000 0.7248
Zn2 0.0000 0.0000 0.0289
Zr1 0.0000 0.0000 0.5261

# 3
Below is crystalline HfOsIO2 at its relaxed geometry, with properties calculated at the GGA-PBEsol level.

Values from the calculation:
Mass density: 9.224 g/cm3
DOS at the Fermi energy: 4.4 states/eV/f.u.
Volume: 95.0 Å³/cell
Formation energy (no corrections): 0.18 eV/atom
Symmetry: P4/mmm

a b c (Å): 3.8077 3.8077 6.5516
angles (deg): 90.00 90.00 90.00
Fractional coordinates of all 5 atoms:
O1 0.0000 0.5000 0.0000
Hf1 0.5000 0.5000 0.5000
I1 0.0000 0.0000 0.5000
Os1 0.0000 0.0000 0.0000
O2 0.5000 0.0000 0.0000

# 4
Below is crystalline Y2SiPt at its relaxed geometry, with properties calculated at the GGA-PBEsol level.

Values from the calculation:
Mass density: 7.063 g/cm3
DOS at the Fermi energy: 2.1 states/eV/f.u.
Volume: 94.3 Å³/cell
Formation energy (no corrections): -0.71 eV/atom
Symmetry: P4mm

a b c (Å): 4.0466 4.0466 5.7572
angles (deg): 90.00 90.00 90.00
Fractional coordinates of all 4 atoms:
Y1 0.0000 0.0000 0.8782
Si1 0.5000 0.5000 0.8723
Pt1 0.0000 0.0000 0.3773
Y2 0.5000 0.5000 0.3722

# 5
Below is crystalline Hf2TaMnTl at its relaxed geometry, with properties calculated at the GGA-PBEsol level.

Values from the calculation:
Mass density: 9.796 g/cm3
DOS at the Fermi energy: 5.3 states/eV/f.u.
Formation energy from the elements: 1.9923 eV/atom
Volume: 135.1 Å³/cell
Symmetry: P4/mmm

a b c (Å): 5.0731 5.1612 5.1612
angles (deg): 90.00 90.00 90.00
Fractional coordinates of all 5 atoms:
Ta1 0.5000 0.0000 0.0000
Hf1 0.0000 0.5000 0.0000
Mn1 0.5000 0.5000 0.5000
Tl1 0.0000 0.0000 0.0000
Hf2 0.0000 0.0000 0.5000

# 6
Below is crystalline ScFe2Ni2 at its relaxed geometry, with properties calculated at the GGA-PBEsol level.

Values from the calculation:
Mass density: 6.799 g/cm3
DOS at the Fermi energy: 5.8 states/eV/f.u.
Formation energy from the elements: -0.0431 eV/atom
Volume: 66.9 Å³/cell
Offset from the most stable computed form: 0.000 eV/atom
Symmetry: I4/mmm

a b c (Å): 3.5542 3.5542 5.8642
angles (deg): 107.64 107.64 90.00
Fractional coordinates of all 5 atoms:
Sc1 0.0000 0.0000 0.0000
Ni1 0.3944 0.3944 0.7888
Fe1 0.7500 0.2500 0.5000
Ni2 0.6056 0.6056 0.2112
Fe2 0.2500 0.7500 0.5000

# 7
Below is crystalline HfRuN2O at its relaxed geometry, with properties calculated at the GGA-PBEsol level.

Values from the calculation:
Mass density: 7.986 g/cm3
DOS at the Fermi energy: 5.9 states/eV/f.u.
Volume: 67.3 Å³/cell
Formation energy (no corrections): 0.34 eV/atom
Symmetry: P4/mmm

a b c (Å): 3.9244 4.1407 4.1407
angles (deg): 90.00 90.00 90.00
Fractional coordinates of all 5 atoms:
Ru1 0.5000 0.5000 0.5000
O1 0.5000 0.0000 0.0000
N1 0.0000 0.5000 0.0000
Hf1 0.0000 0.0000 0.0000
N2 0.0000 0.0000 0.5000

# 8
Below is crystalline CdTcAu2 at its relaxed geometry, with properties calculated at the GGA-PBEsol level.

Values from the calculation:
Mass density: 15.209 g/cm3
DOS at the Fermi energy: 2.8 states/eV/f.u.
Formation energy from the elements: 0.1675 eV/atom
Volume: 66.0 Å³/cell
Symmetry: P4/mmm

a b c (Å): 2.8127 2.8127 8.3407
angles (deg): 90.00 90.00 90.00
Fractional coordinates of all 4 atoms:
Au1 0.0000 0.0000 0.2641
Cd1 0.5000 0.5000 0.0000
Tc1 0.5000 0.5000 0.5000
Au2 0.0000 0.0000 0.7359

# 9
Below is crystalline AgSbTe2W at its relaxed geometry, with properties calculated at the GGA-PBEsol level.

Values from the calculation:
Mass density: 7.804 g/cm3
DOS at the Fermi energy: 4.8 states/eV/f.u.
Volume: 142.3 Å³/cell
Formation energy (no corrections): 0.81 eV/atom
Symmetry: P4/mmm

a b c (Å): 5.2148 5.2148 5.2319
angles (deg): 90.00 90.00 90.00
Fractional coordinates of all 5 atoms:
Sb1 0.0000 0.0000 0.5000
Ag1 0.5000 0.5000 0.5000
Te1 0.5000 0.0000 0.0000
W1 0.0000 0.0000 0.0000
Te2 0.0000 0.5000 0.0000

# 10
Below is crystalline As2RuSeF at its relaxed geometry, with properties calculated at the GGA-PBEsol level.

Values from the calculation:
Mass density: 6.978 g/cm3
DOS at the Fermi energy: 2.9 states/eV/f.u.
Volume: 83.0 Å³/cell
Formation energy (no corrections): 0.61 eV/atom
Symmetry: P4/mmm

a b c (Å): 4.2284 4.2284 4.6435
angles (deg): 90.00 90.00 90.00
Fractional coordinates of all 5 atoms:
F1 0.0000 0.0000 0.0000
Ru1 0.5000 0.5000 0.5000
As1 0.5000 0.0000 0.0000
Se1 0.0000 0.0000 0.5000
As2 0.0000 0.5000 0.0000

# 11
Below is crystalline Li2In at its relaxed geometry, with properties calculated at the GGA-PBEsol level.

Values from the calculation:
Mass density: 3.962 g/cm3
DOS at the Fermi energy: 0.9 states/eV/f.u.
Formation energy from the elements: -0.3184 eV/atom
Volume: 107.9 Å³/cell
Symmetry: Cmcm

a b c (Å): 4.6420 4.6704 5.4971
angles (deg): 64.86 90.00 90.00
Fractional coordinates of all 6 atoms:
Li1 0.7500 0.4112 0.1776
In1 0.7500 0.0886 0.8229
Li2 0.2500 0.2440 0.5120
Li3 0.2500 0.5888 0.8224
In2 0.2500 0.9114 0.1771
Li4 0.7500 0.7560 0.4880

# 12
Below is crystalline ZrMn2Tc at its relaxed geometry, with properties calculated at the GGA-PBEsol level.

Values from the calculation:
Mass density: 8.955 g/cm3
DOS at the Fermi energy: 4.8 states/eV/f.u.
Formation energy from the elements: 0.1310 eV/atom
Volume: 55.5 Å³/cell
Offset from the most stable computed form: 0.000 eV/atom
Symmetry: Cm

a b c (Å): 2.9082 4.4560 4.8521
angles (deg): 111.32 107.44 90.00
Fractional coordinates of all 4 atoms:
Zr1 0.2561 0.7483 0.5123
Mn1 0.0273 0.0630 0.0546
Tc1 0.4766 0.4693 0.9532
Mn2 0.7399 0.2193 0.4799